Entry 1:
Crystalline Ba2YScCd at its relaxed geometry. Source: Alexandria, functional GGA-PBE.

Values from the calculation:
Total DFT energy (no corrections) in eV per atom: -3.005
Calculated volume in Å³/f.u.: 231
Space group: P4/mmm (123)
ΔH_f (0 K) in eV/atom: 0.51
M_tot in μB/f.u.: 2.09

Unit cell a=6.396 b=6.396 c=5.643 alpha=90.00 beta=90.00 gamma=90.00
Sites, in units of the cell vectors:
Ba (0.000, 0.500, 0.000)
Ba (0.500, 0.000, 0.000)
Y (0.000, 0.000, 0.500)
Sc (0.500, 0.500, 0.500)
Cd (0.500, 0.500, 0.000)

Entry 2:
Crystalline Ba5CdSe6 at its relaxed geometry. Source: Alexandria, functional GGA-PBE.

Values from the calculation:
Total DFT energy (no corrections) in eV per atom: -4.346
Calculated volume in Å³/f.u.: 422
Uncorrected formation energy in eV/atom: -1.726
Space group: C2/m (12)
M_tot in μB/f.u.: 0.00

Unit cell a=8.034 b=8.034 c=8.012 alpha=99.59 beta=99.59 gamma=120.05
Sites, in units of the cell vectors:
Ba (0.000, 0.000, 0.000)
Ba (0.167, 0.833, 0.500)
Ba (0.333, 0.667, 0.000)
Ba (0.667, 0.333, 0.000)
Ba (0.833, 0.167, 0.500)
Cd (0.500, 0.500, 0.500)
Se (0.103, 0.420, 0.260)
Se (0.266, 0.266, 0.738)
Se (0.420, 0.103, 0.260)
Se (0.580, 0.897, 0.740)
Se (0.734, 0.734, 0.262)
Se (0.897, 0.580, 0.740)

Entry 3:
Crystalline Ba2CdSe at its relaxed geometry. Source: Alexandria, functional GGA-PBE.

Values from the calculation:
Total DFT energy (no corrections) in eV per atom: -3.067
Energy relative to the lowest polymorph listed for this composition in eV/f.u.: 0.09
Calculated volume in Å³/f.u.: 142
Uncorrected formation energy in eV/atom: -1.006
Space group: P2/m (10)
M_tot in μB/f.u.: 0.00

Unit cell a=4.169 b=4.153 c=8.197 alpha=90.00 beta=90.14 gamma=90.00
Sites, in units of the cell vectors:
Ba (0.001, 0.000, 0.269)
Ba (0.999, 0.000, 0.731)
Cd (0.500, 0.500, 0.000)
Se (0.500, 0.500, 0.500)

Entry 4:
Crystalline BaCd4Se at its relaxed geometry. Source: Alexandria, functional GGA-PBE.

Values from the calculation:
Total DFT energy (no corrections) in eV per atom: -1.762
Calculated volume in Å³/f.u.: 170
Uncorrected formation energy in eV/atom: -0.251
Space group: F-43m (216)
M_tot in μB/f.u.: 0.00

Unit cell a=6.222 b=6.222 c=6.222 alpha=60.00 beta=60.00 gamma=60.00
Sites, in units of the cell vectors:
Ba (0.000, 0.000, 0.000)
Cd (0.129, 0.624, 0.624)
Cd (0.624, 0.129, 0.624)
Cd (0.624, 0.624, 0.129)
Cd (0.624, 0.624, 0.624)
Se (0.250, 0.250, 0.250)

Entry 5:
Crystalline Ba2CdSe at its relaxed geometry. Source: Alexandria, functional GGA-PBE.

Values from the calculation:
Total DFT energy (no corrections) in eV per atom: -2.987
Energy relative to the lowest polymorph listed for this composition in eV/f.u.: 0.41
Calculated volume in Å³/f.u.: 151
Uncorrected formation energy in eV/atom: -0.926
Space group: Cm (8)
M_tot in μB/f.u.: 0.00

Unit cell a=6.762 b=6.762 c=5.329 alpha=94.60 beta=94.60 gamma=38.55
Sites, in units of the cell vectors:
Ba (0.000, 0.000, 0.000)
Ba (0.742, 0.742, 0.507)
Cd (0.468, 0.468, 0.491)
Se (0.266, 0.266, 0.026)

Entry 6:
Crystalline BaCd3Se at its relaxed geometry. Source: Alexandria, functional GGA-PBE.

Values from the calculation:
Total DFT energy (no corrections) in eV per atom: -0.973
Energy relative to the lowest polymorph listed for this composition in eV/f.u.: 3.33
Calculated volume in Å³/f.u.: 275
Uncorrected formation energy in eV/atom: 0.658
Space group: Pm-3m (221)
M_tot in μB/f.u.: 0.13

Unit cell a=6.505 b=6.505 c=6.505 alpha=90.00 beta=90.00 gamma=90.00
Sites, in units of the cell vectors:
Ba (0.000, 0.000, 0.000)
Cd (0.000, 0.000, 0.500)
Cd (0.000, 0.500, 0.000)
Cd (0.500, 0.000, 0.000)
Se (0.500, 0.500, 0.500)